1.
A plane-wave DFT calculation with PBE-GGA was carried out for crystalline RbAcSb2O6 at its relaxed geometry.

a b c (Å): 6.091 6.091 7.057
angles (deg): 64.43 64.43 60.00
Sites, in units of the cell vectors:
Rb 0.000 0.000 0.000
Ac 0.500 0.500 0.500
Sb 0.685 0.685 0.945
Sb 0.315 0.315 0.055
O 0.077 0.489 0.796
O 0.639 0.077 0.796
O 0.511 0.361 0.204
O 0.923 0.511 0.204
O 0.361 0.923 0.204
O 0.489 0.639 0.796

Output
density of states at the Fermi level = 1.219 states/eV per cell
space-group type = R-3, No. 148
calculated density = 5.51 g/cm3
magnetic moment = 0.000 μB per atom
E_form (uncorrected) = -1731 meV per atom

***

2.
A plane-wave DFT calculation with PBE-GGA was carried out for crystalline Rb2Ac2SbO6 at its relaxed geometry.

a b c (Å): 6.390 6.390 7.015
angles (deg): 97.04 97.04 119.27
Sites, in units of the cell vectors:
Rb 0.845 0.155 0.000
Rb 0.155 0.845 0.000
Ac 0.336 0.664 0.500
Ac 0.664 0.336 0.500
Sb 0.000 0.000 0.500
O 0.764 0.764 0.674
O 0.039 0.343 0.664
O 0.236 0.236 0.326
O 0.343 0.039 0.664
O 0.961 0.657 0.336
O 0.657 0.961 0.336

Output
density of states at the Fermi level = 5.458 states/eV per cell
space-group type = C2/m, No. 12
calculated density = 5.77 g/cm3
magnetic moment = 0.000 μB per atom
E_form (uncorrected) = -2157 meV per atom

***

3.
A plane-wave DFT calculation with PBE-GGA was carried out for crystalline Rb4AcSb3O12 at its relaxed geometry.

a b c (Å): 7.450 7.450 7.450
angles (deg): 109.47 109.47 109.47
Site moments in Bohr magnetons follow the coordinates.
Sites, in units of the cell vectors:
Rb 0.500 0.500 0.500  0.00
Rb 0.000 0.000 0.500  0.00
Rb 0.500 0.000 0.000  0.00
Rb 0.000 0.500 0.000  0.00
Ac 0.000 0.000 0.000  0.00
Sb 0.500 0.000 0.500  -0.02
Sb 0.500 0.500 0.000  -0.02
Sb 0.000 0.500 0.500  -0.02
O 0.250 0.500 0.750  0.23
O 0.722 0.000 0.722  0.07
O 0.278 0.000 0.278  0.07
O 0.750 0.500 0.250  0.23
O 0.722 0.722 0.000  0.07
O 0.278 0.278 0.000  0.07
O 0.750 0.250 0.500  0.23
O 0.250 0.750 0.500  0.23
O 0.500 0.250 0.750  0.23
O 0.000 0.722 0.722  0.07
O 0.500 0.750 0.250  0.23
O 0.000 0.278 0.278  0.07

Output
density of states at the Fermi level = 7.732 states/eV per cell
space-group type = Im-3m, No. 229
calculated density = 5.88 g/cm3
magnetic moment = 0.105 μB per atom
E_form (uncorrected) = -1578 meV per atom

***

4.
A plane-wave DFT calculation with PBE-GGA was carried out for crystalline Rb2AcSbO4 at its relaxed geometry.

a b c (Å): 7.603 7.603 7.774
angles (deg): 120.75 120.75 89.48
Sites, in units of the cell vectors:
Rb 0.500 0.000 0.000
Rb 0.500 0.000 0.500
Rb 0.000 0.000 0.500
Rb 0.500 0.500 0.000
Ac 0.000 0.500 0.000
Ac 0.000 0.500 0.500
Sb 0.500 0.500 0.500
Sb 0.000 0.000 0.000
O 0.188 0.742 0.965
O 0.758 0.312 0.535
O 0.242 0.688 0.465
O 0.812 0.258 0.035
O 0.765 0.735 0.957
O 0.765 0.735 0.543
O 0.235 0.265 0.457
O 0.235 0.265 0.043

Output
space-group type = Imma, No. 74
calculated density = 6.21 g/cm3
magnetic moment = 0.000 μB per atom
E_form (uncorrected) = -1814 meV per atom

***

5.
A plane-wave DFT calculation with PBE-GGA was carried out for crystalline RbAcSbO4 at its relaxed geometry.

a b c (Å): 6.881 7.277 7.277
angles (deg): 64.00 61.78 61.78
Sites, in units of the cell vectors:
Rb 0.500 0.000 0.500
Rb 0.000 0.000 0.500
Ac 0.000 0.000 0.000
Ac 0.000 0.500 0.500
Sb 0.639 0.611 0.111
Sb 0.361 0.389 0.889
O 0.755 0.701 0.789
O 0.245 0.711 0.799
O 0.755 0.289 0.201
O 0.245 0.299 0.211
O 0.266 0.729 0.229
O 0.776 0.729 0.229
O 0.224 0.271 0.771
O 0.734 0.271 0.771

Output
density of states at the Fermi level = 6.344 states/eV per cell
space-group type = Imma, No. 74
calculated density = 6.09 g/cm3
magnetic moment = 0.000 μB per atom
E_form (uncorrected) = -1896 meV per atom

***

6.
A plane-wave DFT calculation with PBE-GGA was carried out for crystalline Rb3AcSb2O6 at its relaxed geometry.

a b c (Å): 6.455 6.455 7.687
angles (deg): 90.00 90.00 120.00
Sites, in units of the cell vectors:
Rb 0.333 0.667 0.654
Rb 0.667 0.333 0.346
Rb 0.000 0.000 0.000
Ac 0.000 0.000 0.500
Sb 0.667 0.333 0.815
Sb 0.333 0.667 0.185
O 0.643 0.821 0.307
O 0.179 0.357 0.307
O 0.179 0.821 0.307
O 0.821 0.643 0.693
O 0.357 0.179 0.693
O 0.821 0.179 0.693

Output
density of states at the Fermi level = 0.000 states/eV per cell
space-group type = P-3m1, No. 164
calculated density = 4.93 g/cm3
magnetic moment = 0.000 μB per atom
E_form (uncorrected) = -1961 meV per atom

***

7.
A plane-wave DFT calculation with PBE-GGA was carried out for crystalline RbAc2SbO6 at its relaxed geometry.

a b c (Å): 6.255 6.255 6.563
angles (deg): 61.54 61.54 60.00
Sites, in units of the cell vectors:
Rb 0.789 0.789 0.632
Ac 0.530 0.530 0.411
Ac 0.016 0.016 0.952
Sb 0.325 0.325 0.026
O 0.543 0.259 0.215
O 0.259 0.983 0.215
O 0.983 0.543 0.215
O 0.365 0.674 0.783
O 0.674 0.178 0.783
O 0.178 0.365 0.783

Output
density of states at the Fermi level = 0.000 states/eV per cell
space-group type = R3, No. 146
calculated density = 6.77 g/cm3
magnetic moment = 0.000 μB per atom
E_form (uncorrected) = -2429 meV per atom

***

8.
A plane-wave DFT calculation with PBE-GGA was carried out for crystalline Rb4Ac3ScO8 at its relaxed geometry.

a b c (Å): 7.485 7.909 7.485
angles (deg): 118.23 120.00 90.00
Sites, in units of the cell vectors:
Rb 0.500 0.000 0.000
Rb 0.500 0.000 0.500
Rb 0.000 0.000 0.000
Rb 0.000 0.000 0.500
Ac 0.500 0.500 0.000
Ac 0.500 0.500 0.500
Ac 0.000 0.500 0.500
Sc 0.000 0.500 0.000
O 0.211 0.677 0.966
O 0.211 0.677 0.421
O 0.270 0.310 0.540
O 0.755 0.677 0.966
O 0.245 0.323 0.034
O 0.730 0.690 0.460
O 0.789 0.323 0.579
O 0.789 0.323 0.034

Output
density of states at the Fermi level = 0.000 states/eV per cell
space-group type = R-3m, No. 166
calculated density = 6.18 g/cm3
magnetic moment = 0.000 μB per atom
E_form (uncorrected) = -2489 meV per atom

***

9.
A plane-wave DFT calculation with PBE-GGA was carried out for crystalline Rb2AcScO4 at its relaxed geometry.

a b c (Å): 3.605 6.231 6.881
angles (deg): 107.67 90.00 90.00
Sites, in units of the cell vectors:
Rb 0.500 0.000 0.500
Rb 0.000 0.500 0.500
Ac 0.500 0.500 0.000
Sc 0.000 0.000 0.000
O 0.500 0.203 0.175
O 0.500 0.797 0.825
O 0.000 0.234 0.824
O 0.000 0.766 0.176

Output
density of states at the Fermi level = 0.000 states/eV per cell
space-group type = P2/m, No. 10
calculated density = 5.72 g/cm3
magnetic moment = 0.000 μB per atom
E_form (uncorrected) = -2495 meV per atom

***

10.
A plane-wave DFT calculation with PBE-GGA was carried out for crystalline RbAcSeO6 at its relaxed geometry.

a b c (Å): 5.577 5.577 5.430
angles (deg): 90.00 90.00 60.00
Site moments in Bohr magnetons follow the coordinates.
Sites, in units of the cell vectors:
Rb 0.667 0.667 0.213  0.00
Ac 0.000 0.000 0.739  -0.01
Se 0.333 0.333 0.560  -0.04
O 0.176 0.176 0.391  0.19
O 0.483 0.034 0.771  0.39
O 0.483 0.483 0.771  0.39
O 0.034 0.483 0.771  0.39
O 0.176 0.648 0.391  0.19
O 0.648 0.176 0.391  0.19

Output
density of states at the Fermi level = 4.041 states/eV per cell
space-group type = P3m1, No. 156
calculated density = 5.53 g/cm3
magnetic moment = 0.223 μB per atom
E_form (uncorrected) = -1361 meV per atom

***

11.
A plane-wave DFT calculation with PBE-GGA was carried out for crystalline RbAcSeO4 at its relaxed geometry.

a b c (Å): 7.289 7.321 7.321
angles (deg): 61.49 60.15 60.15
Sites, in units of the cell vectors:
Rb 0.500 0.000 0.500
Rb 0.000 0.000 0.500
Ac 0.000 0.000 0.000
Ac 0.000 0.500 0.500
Se 0.625 0.625 0.125
Se 0.375 0.375 0.875
O 0.728 0.705 0.840
O 0.272 0.660 0.795
O 0.728 0.340 0.205
O 0.272 0.295 0.160
O 0.228 0.736 0.236
O 0.799 0.736 0.236
O 0.201 0.264 0.764
O 0.772 0.264 0.764

Output
space-group type = Imma, No. 74
calculated density = 5.40 g/cm3
magnetic moment = 0.000 μB per atom
E_form (uncorrected) = -1660 meV per atom

***

12.
A plane-wave DFT calculation with PBE-GGA was carried out for crystalline RbAc3Se4O12 at its relaxed geometry.

a b c (Å): 8.074 8.074 8.074
angles (deg): 106.18 106.18 106.18
Site moments in Bohr magnetons follow the coordinates.
Sites, in units of the cell vectors:
Rb 0.000 0.000 0.000  0.00
Ac 0.559 0.441 0.000  0.00
Ac 0.441 0.000 0.559  0.00
Ac 0.000 0.559 0.441  0.00
Se 0.942 0.058 0.500  -0.07
Se 0.058 0.500 0.942  -0.07
Se 0.500 0.942 0.058  -0.07
Se 0.500 0.500 0.500  0.23
O 0.500 0.353 0.647  0.08
O 0.879 0.500 0.121  -0.01
O 0.121 0.879 0.500  -0.01
O 0.500 0.121 0.879  -0.01
O 0.379 0.930 0.204  -0.02
O 0.204 0.379 0.930  -0.02
O 0.930 0.204 0.379  -0.02
O 0.621 0.796 0.070  -0.02
O 0.070 0.621 0.796  -0.02
O 0.796 0.070 0.621  -0.02
O 0.647 0.500 0.353  0.08
O 0.353 0.647 0.500  0.08

Output
density of states at the Fermi level = 8.145 states/eV per cell
space-group type = R32, No. 155
calculated density = 4.72 g/cm3
magnetic moment = 0.004 μB per atom
E_form (uncorrected) = -1586 meV per atom